# 1
The following is a DFT calculation (GGA-PBE) of an optimized crystal structure of MgPRu4.

Values from the calculation:
Energy of formation from the pure elements ... 0.5304 eV/atom
Volume ... 95.49 Å³/f.u.
Raw total energy ... -6.82 eV/atom

Cell lengths 7.2556, 7.2556, 7.2556 Å; angles 90.00, 90.00, 90.00 degrees
Space group F-43m (No. 216)
Unique sites:
Mg1 0.0000 0.0000 0.0000 [4 per cell]
P1 0.2500 0.2500 0.2500 [4 per cell]
Ru1 0.1244 0.1244 0.6244 [16 per cell]



# 2
The following is a DFT calculation (GGA-PBE) of an optimized crystal structure of SrBeAs.

Values from the calculation:
Energy of formation from the pure elements ... -0.0520 eV/atom
Volume ... 65.00 Å³/f.u.
Raw total energy ... -3.40 eV/atom
Distance to the lowest polymorph of the same formula ... 596 meV per atom

Cell lengths 3.4778, 3.4778, 10.7486 Å; angles 90.00, 90.00, 90.00 degrees
Space group I4mm (No. 107)
Unique sites:
Sr1 0.0000 0.0000 0.0000 [2 per cell]
Be1 0.0000 0.0000 0.2820 [2 per cell]
As1 0.0000 0.0000 0.7134 [2 per cell]



# 3
The following is a DFT calculation (GGA-PBE) of an optimized crystal structure of Ac2LaPmNd5.

Values from the calculation:
Energy of formation from the pure elements ... 0.1294 eV/atom
Volume ... 341.29 Å³/f.u.
Raw total energy ... -4.51 eV/atom

Cell lengths 5.9174, 20.7537, 11.1162 Å; angles 90.00, 90.00, 90.00 degrees
Space group Cmc2_1 (No. 36)
Unique sites:
Ac1 0.0000 0.1142 0.0000 [4 per cell]
Ac2 0.0000 0.1175 0.5929 [4 per cell]
La1 0.0000 0.4147 0.7309 [4 per cell]
Pm1 0.0000 0.2083 0.2791 [4 per cell]
Nd1 0.0000 0.0194 0.2967 [4 per cell]
Nd2 0.0000 0.2832 0.5816 [4 per cell]
Nd3 0.0000 0.2964 0.9744 [4 per cell]
Nd4 0.0000 0.3921 0.2927 [4 per cell]
Nd5 0.0000 0.4818 0.0113 [4 per cell]



Q: Which of these has the highest raw total energy?
A: SrBeAs